# 1
CeB2Ru3: relaxed, PBEsol.

```
6
Lattice="-0.783 2.763 -0.768 -4.137 -2.002 -2.979 -0.778 1.247 5.276" Properties=species:S:1:pos:R:3 pbc="T T T"
Ru -0.781 2.005 2.254
Ru -2.849 1.004 0.764
Ru -2.460 0.380 -1.874
B -1.897 0.164 2.524
B -3.017 -0.919 -0.227
Ce 0.000 0.000 0.000
```

## Properties
Calculated formation energy = -48.6 kJ/mol of atoms
Crystal system = hexagonal


# 2
As3Rh: relaxed, PBEsol.

```
4
Lattice="-2.230 0.252 -2.325 -3.308 -0.268 3.143 0.853 4.479 -0.332" Properties=species:S:1:pos:R:3 pbc="T T T"
As -0.689 2.366 -1.329
As -2.769 -0.008 0.409
As -1.228 2.106 1.406
Rh 0.000 0.000 0.000
```

## Properties
Calculated formation energy = 16.1 kJ/mol of atoms
Distance to the lowest polymorph of the same formula = 624 meV per atom
Crystal system = orthorhombic


# 3
LiAlHg: relaxed, PBEsol.

```
3
Lattice="3.052 0.000 0.000 0.000 4.564 0.000 0.000 -2.282 3.953" Properties=species:S:1:pos:R:3 pbc="T T T"
Al 2.547 0.000 0.000
Hg 2.540 0.000 2.635
Li 1.017 2.282 1.318
```

## Properties
Calculated formation energy = -20.9 kJ/mol of atoms
Crystal system = trigonal


# 4
YH2I: relaxed, PBEsol.

```
8
Lattice="4.660 0.000 0.000 0.000 4.660 0.000 -2.330 -2.330 6.588" Properties=species:S:1:pos:R:3 pbc="T T T"
I 0.000 0.000 0.000
I 0.000 2.330 3.294
Y 2.330 2.330 0.000
Y 2.330 0.000 3.294
H 1.165 0.000 4.941
H -1.165 0.000 4.941
H 2.330 3.495 1.647
H 2.330 1.165 1.647
```

## Properties
E = -35.3 eV per cell
Crystal system = tetragonal


Here are the calculated ρ numbers, same order: 10.0, 8.3, 7.1, 5.1 (Mg/m³).